{
  "formula": "LaTbGdPu",
  "functional": "PBE-GGA",
  "state": "optimized geometry",
  "dos_at_fermi_per_ev_cell": 11.681,
  "m_tot_mub_per_cell": 0.3,
  "delta_e_f_ev_per_atom": 0.204,
  "cell": [[-2.440, -1.113, 4.994], [2.899, -2.753, 4.020], [1.695, 2.750, 4.659]],
  "species": ["Pu", "La", "Gd", "Tb"],
  "fractional_positions": [[0.000, 0.000, 0.000], [0.250, 0.250, 0.250], [0.750, 0.750, 0.750], [0.500, 0.500, 0.500]]
}

{
  "formula": "LaGdPuTl",
  "functional": "PBE-GGA",
  "state": "optimized geometry",
  "dos_at_fermi_per_ev_cell": 19.623,
  "m_tot_mub_per_cell": 14.8,
  "delta_e_f_ev_per_atom": -0.012,
  "cell": [[5.536, 0.000, 0.000], [2.768, 4.795, 0.000], [2.768, 1.598, 4.520]],
  "species": ["Gd", "La", "Tl", "Pu"],
  "fractional_positions": [[0.250, 0.250, 0.250], [0.750, 0.750, 0.750], [0.000, 0.000, 0.000], [0.500, 0.500, 0.500]]
}

{
  "formula": "LaGdRe4",
  "functional": "PBE-GGA",
  "state": "optimized geometry",
  "dos_at_fermi_per_ev_cell": 8.745,
  "m_tot_mub_per_cell": 6.4,
  "delta_e_f_ev_per_atom": 0.044,
  "cell": [[5.501, 0.000, 0.000], [2.751, 4.764, 0.000], [2.751, 1.588, 4.492]],
  "species": ["Re", "Re", "Re", "Re", "Gd", "La"],
  "fractional_positions": [[0.625, 0.125, 0.625], [0.625, 0.625, 0.125], [0.125, 0.625, 0.625], [0.625, 0.625, 0.625], [0.250, 0.250, 0.250], [0.000, 0.000, 0.000]]
}

{
  "formula": "LaGdRh2",
  "functional": "PBE-GGA",
  "state": "optimized geometry",
  "dos_at_fermi_per_ev_cell": 2.195,
  "m_tot_mub_per_cell": 7.0,
  "delta_e_f_ev_per_atom": -0.710,
  "cell": [[3.418, 0.000, 0.000], [0.000, 5.065, 0.000], [0.000, 0.000, 5.065]],
  "species": ["Rh", "Rh", "La", "Gd"],
  "fractional_positions": [[0.000, 0.500, 0.000], [0.000, 0.000, 0.500], [0.500, 0.000, 0.000], [0.500, 0.500, 0.500]]
}

{
  "formula": "La3GdRh",
  "functional": "PBE-GGA",
  "state": "optimized geometry",
  "dos_at_fermi_per_ev_cell": 10.415,
  "m_tot_mub_per_cell": 8.6,
  "delta_e_f_ev_per_atom": -0.205,
  "cell": [[5.655, 0.000, 0.000], [0.000, 5.655, 0.000], [0.000, 0.000, 5.655]],
  "species": ["La", "La", "La", "Gd", "Rh"],
  "fractional_positions": [[0.000, 0.000, 0.500], [0.000, 0.500, 0.000], [0.500, 0.000, 0.000], [0.500, 0.500, 0.500], [0.000, 0.000, 0.000]]
}

{
  "formula": "LaGdRh2",
  "functional": "PBE-GGA",
  "state": "optimized geometry",
  "dos_at_fermi_per_ev_cell": 3.892,
  "m_tot_mub_per_cell": 7.0,
  "delta_e_f_ev_per_atom": -0.704,
  "cell": [[4.993, 0.000, 0.000], [2.496, 4.324, 0.000], [2.496, 1.441, 4.076]],
  "species": ["La", "Rh", "Rh", "Gd"],
  "fractional_positions": [[0.000, 0.000, 0.000], [0.250, 0.250, 0.250], [0.750, 0.750, 0.750], [0.500, 0.500, 0.500]]
}

{
  "formula": "LaGd3Rh",
  "functional": "PBE-GGA",
  "state": "optimized geometry",
  "dos_at_fermi_per_ev_cell": 7.034,
  "m_tot_mub_per_cell": 22.9,
  "delta_e_f_ev_per_atom": -0.255,
  "cell": [[5.490, 0.000, 0.000], [0.000, 5.490, 0.000], [0.000, 0.000, 5.490]],
  "species": ["Gd", "Gd", "Gd", "La", "Rh"],
  "fractional_positions": [[0.000, 0.000, 0.500], [0.500, 0.000, 0.000], [0.000, 0.500, 0.000], [0.500, 0.500, 0.500], [0.000, 0.000, 0.000]]
}

{
  "formula": "LaGdTlRh",
  "functional": "PBE-GGA",
  "state": "optimized geometry",
  "dos_at_fermi_per_ev_cell": 3.707,
  "m_tot_mub_per_cell": 7.1,
  "delta_e_f_ev_per_atom": -0.423,
  "cell": [[5.275, 0.000, 0.000], [2.637, 4.568, 0.000], [2.637, 1.523, 4.307]],
  "species": ["La", "Rh", "Tl", "Gd"],
  "fractional_positions": [[0.750, 0.750, 0.750], [0.000, 0.000, 0.000], [0.500, 0.500, 0.500], [0.250, 0.250, 0.250]]
}